A plane-wave DFT calculation with SCAN was carried out for a PBEsol-optimized structure of Sb3AsS6.

Cell and atoms, written as extended XYZ:
```
20
Lattice="3.7535 0.0000 0.0000 0.0000 10.6688 0.0000 0.0000 0.0000 11.3864" Properties=species:S:1:pos:R:3 pbc="T T T"
Sb 0.0000 0.8928 0.0000
Sb 0.0000 3.0191 7.7448
Sb 0.0000 7.6497 2.0516
Sb 0.0000 9.7760 5.6932
Sb 1.8768 2.4028 4.2854
Sb 1.8768 8.2660 9.9786
As 1.8768 4.5911 0.8222
As 1.8768 6.0776 6.5154
S 0.0000 0.6493 3.6253
S 0.0000 3.3267 1.7231
S 0.0000 4.1681 5.5279
S 0.0000 6.5007 11.2211
S 0.0000 7.3420 7.4163
S 0.0000 10.0195 9.3185
S 1.8768 1.3429 6.5516
S 1.8768 2.1719 10.2482
S 1.8768 4.7998 8.4336
S 1.8768 5.8690 2.7404
S 1.8768 8.4969 4.5550
S 1.8768 9.3259 0.8584
```

Summary:
Space-group type   Pmc2_1, No. 26
Crystal system   orthorhombic
Total moment   0.0 Bohr magnetons per cell
Raw formation energy   -211.5 meV/atom

***

A plane-wave DFT calculation with SCAN was carried out for a PBEsol-optimized structure of Sb2AsS2.

Cell and atoms, written as extended XYZ:
```
10
Lattice="5.3092 -1.9791 0.0000 5.3092 1.9791 0.0000 -5.0274 0.0000 11.0530" Properties=species:S:1:pos:R:3 pbc="T T T"
Sb -1.1102 0.0000 4.4043
Sb -1.2654 0.0000 9.1451
Sb 6.8564 0.0000 1.9079
Sb 6.7012 0.0000 6.6487
As 1.2204 0.0000 0.0904
As 4.3706 0.0000 10.9626
S 1.3432 0.0000 4.6471
S 1.1716 0.0000 8.4787
S 4.4194 0.0000 2.5743
S 4.2478 0.0000 6.4059
```

Summary:
Space-group type   C2/m, No. 12
Crystal system   monoclinic
Total moment   0.0 Bohr magnetons per cell
Raw formation energy   -153.3 meV/atom